1.
VASP calculation (GGA-PBE) on a relaxed FeAuCl2 crystal.

Unit cell a=7.1010 b=7.1010 c=5.0025 alpha=69.39 beta=69.39 gamma=25.06
Fractional positions:
1 Au 0.7500 0.7500 0.7500
2 Fe 0.2500 0.2500 0.2500
3 Cl 0.6103 0.6103 0.3894
4 Cl 0.8897 0.8897 0.1106

Output
* Fermi-level density of states: 0.77 states/eV per atom
* total moment: 1.000 μB per atom
* formation energy without anion corrections: -0.1178 eV per atom
* offset from the most stable computed form: 0.43 eV per formula unit

2.
VASP calculation (GGA-PBE) on a relaxed BaCa3Rh crystal.

Unit cell a=26.5553 b=7.6469 c=9.7048 alpha=90.00 beta=157.15 gamma=90.00
Fractional positions:
1 Ca 0.3330 0.9214 0.6485
2 Ca 0.1670 0.4214 0.8515
3 Ca 0.7061 0.3045 0.1036
4 Ba 0.4872 0.5705 0.7627
5 Ca 0.8330 0.5786 0.1485
6 Rh 0.9008 0.1262 0.7755
7 Ca 0.1041 0.5549 0.0977
8 Ba 0.0128 0.0705 0.7373
9 Ba 0.5128 0.4295 0.2373
10 Ca 0.3959 0.0549 0.4023
11 Ca 0.7939 0.8045 0.3964
12 Ca 0.6041 0.9451 0.5977
13 Rh 0.5992 0.6262 0.7245
14 Rh 0.0992 0.8738 0.2245
15 Ca 0.8959 0.4451 0.9023
16 Rh 0.4008 0.3738 0.2755
17 Ca 0.6670 0.0786 0.3515
18 Ca 0.2061 0.1955 0.6036
19 Ca 0.2939 0.6955 0.8964
20 Ba 0.9872 0.9295 0.2627

Output
* Fermi-level density of states: 1.10 states/eV per atom
* total moment: 0.000 μB per atom
* offset from the most stable computed form: 0.45 eV per formula unit
* E_form: -0.69 eV per formula unit

3.
VASP calculation (GGA-PBE) on a relaxed Na2CdSbF crystal.

Unit cell a=4.4375 b=4.4375 c=5.5100 alpha=90.00 beta=90.00 gamma=90.00
Fractional positions:
1 Na 0.0000 0.5000 0.0000
2 F 0.0000 0.0000 0.0000
3 Na 0.5000 0.0000 0.0000
4 Cd 0.0000 0.0000 0.5000
5 Sb 0.5000 0.5000 0.5000

Output
* Fermi-level density of states: 0.03 states/eV per atom
* total moment: 0.000 μB per atom
* formation energy without anion corrections: -1.1253 eV per atom

4.
VASP calculation (GGA-PBE) on a relaxed Dy2Pu3US6 crystal.

Unit cell a=3.8929 b=7.8897 c=8.7926 alpha=103.54 beta=102.79 gamma=90.00
Fractional positions:
1 S 0.6667 0.0839 0.3335
2 S 0.0000 0.2493 0.0000
3 S 0.6684 0.5802 0.3369
4 S 0.3333 0.9161 0.6665
5 Dy 0.8359 0.6720 0.6719
6 Pu 0.1666 0.8329 0.3333
7 Pu 0.5000 0.5000 0.0000
8 U 0.5000 0.0000 0.0000
9 S 0.0000 0.7507 0.0000
10 S 0.3316 0.4198 0.6631
11 Dy 0.1641 0.3280 0.3281
12 Pu 0.8334 0.1671 0.6667

Output
* Fermi-level density of states: 2.01 states/eV per atom
* total moment: 1.192 μB per atom
* formation energy without anion corrections: -1.7807 eV per atom

5.
VASP calculation (GGA-PBE) on a relaxed Y3Zn2Ag3 crystal.

Unit cell a=7.2784 b=7.2784 c=3.9134 alpha=90.00 beta=90.00 gamma=120.00
Fractional positions:
1 Ag 0.0000 0.2396 0.0000
2 Y 0.0000 0.6136 0.5000
3 Y 0.6136 0.0000 0.5000
4 Zn 0.6667 0.3333 0.0000
5 Y 0.3864 0.3864 0.5000
6 Zn 0.3333 0.6667 0.0000
7 Ag 0.7604 0.7604 0.0000
8 Ag 0.2396 0.0000 0.0000

Output
* Fermi-level density of states: 0.99 states/eV per atom
* total moment: 0.000 μB per atom
* E_form: -2.23 eV per formula unit

6.
VASP calculation (GGA-PBE) on a relaxed Li3CaCu crystal.

Unit cell a=4.8306 b=4.8306 c=4.8306 alpha=90.00 beta=90.00 gamma=90.00
Fractional positions:
1 Ca 0.5000 0.5000 0.5000
2 Li 0.0000 0.5000 0.0000
3 Li 0.5000 0.0000 0.0000
4 Li 0.0000 0.0000 0.5000
5 Cu 0.0000 0.0000 0.0000

Output
* Fermi-level density of states: 0.64 states/eV per atom
* total moment: 0.000 μB per atom
* offset from the most stable computed form: 0.51 eV per formula unit
* E_form: 0.47 eV per formula unit

7.
VASP calculation (GGA-PBE) on a relaxed YLuTe3 crystal.

Unit cell a=8.6272 b=7.4892 c=7.4775 alpha=99.75 beta=55.04 gamma=73.16
Fractional positions:
1 Te 0.1826 0.9434 0.5417
2 Te 0.0126 0.2699 0.2032
3 Te 0.3533 0.6029 0.8613
4 Te 0.6860 0.9431 0.5259
5 Lu 0.9388 0.9343 0.0293
6 Lu 0.7715 0.2688 0.6966
7 Y 0.4369 0.9379 0.0310
8 Te 0.8552 0.6031 0.8663
9 Te 0.5293 0.2698 0.1911
10 Y 0.1032 0.6054 0.3650

Output
* Fermi-level density of states: 0.00 states/eV per atom
* total moment: 0.000 μB per atom
* formation energy without anion corrections: -1.3858 eV per atom
* offset from the most stable computed form: 0.03 eV per formula unit

8.
VASP calculation (GGA-PBE) on a relaxed LaSeBr3 crystal.

Unit cell a=5.8739 b=5.8739 c=5.8739 alpha=90.00 beta=90.00 gamma=90.00
Fractional positions:
1 Br 0.0000 0.5000 0.0000
2 Br 0.0000 0.0000 0.5000
3 La 0.0000 0.0000 0.0000
4 Se 0.5000 0.5000 0.5000
5 Br 0.5000 0.0000 0.0000

Output
* Fermi-level density of states: 1.43 states/eV per atom
* total moment: 0.400 μB per atom
* formation energy without anion corrections: -1.0262 eV per atom
* offset from the most stable computed form: 0.00 eV per formula unit

9.
VASP calculation (GGA-PBE) on a relaxed Sr2Ga3Ni2 crystal.

Unit cell a=4.0318 b=5.9294 c=7.5647 alpha=119.53 beta=90.00 gamma=109.88
Fractional positions:
1 Ga 0.6568 0.3136 0.4376
2 Sr 0.1357 0.2715 0.7612
3 Ga 0.3432 0.6864 0.5624
4 Ga 0.5000 0.0000 0.0000
5 Ni 0.1204 0.2408 0.1990
6 Ni 0.8796 0.7592 0.8010
7 Sr 0.8643 0.7285 0.2388

Output
* Fermi-level density of states: 0.55 states/eV per atom
* total moment: 0.000 μB per atom
* E_form: -2.82 eV per formula unit

10.
VASP calculation (GGA-PBE) on a relaxed ScInSb2Te crystal.

Unit cell a=5.6056 b=5.6056 c=5.7494 alpha=90.00 beta=90.00 gamma=90.00
Fractional positions:
1 In 0.0000 0.0000 0.0000
2 Sc 0.5000 0.5000 0.5000
3 Sb 0.0000 0.5000 0.0000
4 Sb 0.5000 0.0000 0.0000
5 Te 0.0000 0.0000 0.5000

Output
* Fermi-level density of states: 1.14 states/eV per atom
* total moment: 0.000 μB per atom
* formation energy without anion corrections: 0.5701 eV per atom
* offset from the most stable computed form: 2.99 eV per formula unit

11.
VASP calculation (GGA-PBE) on a relaxed Cs3Se crystal.

Unit cell a=4.8295 b=9.1599 c=8.9753 alpha=120.68 beta=105.61 gamma=90.00
Fractional positions:
1 Se 0.0000 0.0455 0.0000
2 Cs 0.5000 0.3208 0.0000
3 Cs 0.6478 0.0480 0.2955
4 Cs 0.3522 0.7524 0.7045

Output
* Fermi-level density of states: 0.55 states/eV per atom
* total moment: 0.000 μB per atom
* formation energy without anion corrections: -0.7208 eV per atom
* offset from the most stable computed form: 0.00 eV per formula unit

12.
VASP calculation (GGA-PBE) on a relaxed SrSi3Pd6 crystal.

Unit cell a=5.6719 b=5.6766 c=6.9355 alpha=89.75 beta=113.90 gamma=120.20
Fractional positions:
1 Si 0.2425 0.1221 0.3664
2 Sr 0.9103 0.9546 0.8651
3 Si 0.6522 0.3232 0.9742
4 Pd 0.2766 0.8898 0.6733
5 Si 0.3198 0.6626 0.9831
6 Pd 0.7500 0.0908 0.2666
7 Pd 0.7836 0.3862 0.6700
8 Pd 0.1728 0.6582 0.2659
9 Pd 0.2892 0.3993 0.6749
10 Pd 0.6030 0.5131 0.2605

Output
* Fermi-level density of states: 0.34 states/eV per atom
* total moment: 0.000 μB per atom
* formation energy without anion corrections: -0.6211 eV per atom